Record 1
A geometry-optimized LaSO5 structure. Source: Alexandria via LeMat-Bulk, functional PBE.

formation energy (no corrections): -2.023 eV/atom
energy relative to the lowest polymorph listed for this composition: 0 meV/atom
symmetry: P2_1/c (14)

The structure in POSCAR format:
```
LaSO5
1.0
13.0033 0.0000 0.0000
0.0000 4.6495 0.0047
0.0000 2.6493 6.6643
O S La
20 4 4
direct
0.7569 0.7657 0.8098
0.9376 0.2707 0.4339
0.9053 0.5487 0.7044
0.3416 0.6843 0.4514
0.0947 0.4513 0.2956
0.2569 0.2343 0.6902
0.5726 0.8159 0.4365
0.4376 0.7293 0.0661
0.6584 0.3157 0.5486
0.0624 0.7293 0.5661
0.2431 0.2343 0.1902
0.0726 0.1841 0.0635
0.8416 0.3157 0.0486
0.5947 0.5487 0.2044
0.4274 0.1841 0.5635
0.1584 0.6843 0.9514
0.4053 0.4513 0.7956
0.7431 0.7657 0.3098
0.5624 0.2707 0.9339
0.9274 0.8159 0.9365
0.8557 0.6080 0.8789
0.3557 0.3920 0.6211
0.6443 0.6080 0.3789
0.1443 0.3920 0.1211
0.4302 0.1562 0.1977
0.0698 0.1562 0.6977
0.5698 0.8438 0.8023
0.9302 0.8438 0.3023
```

***

Record 2
A geometry-optimized Sc2BRhF structure. Source: Alexandria via LeMat-Bulk, functional PBE.

formation energy (no corrections): -0.218 eV/atom
symmetry: P4/mmm (123)
density of states at the Fermi level: 0.62 states/eV/atom

The structure in POSCAR format:
```
Sc2BRhF
1.0
-0.1974 -4.3871 1.7122
2.6307 0.8167 2.3959
-3.2622 1.3634 3.1172
Sc F Rh B
2 1 1 1
direct
0.0000 0.0000 0.5000
0.5000 0.0000 0.0000
0.0000 0.5000 0.0000
0.5000 0.5000 0.5000
0.0000 0.0000 0.0000
```